This record from Alexandria describes HgSbCl2 after structural relaxation. The functional is PBE-GGA.

The structure in CIF format:
```
data_HgSbCl2
_chemical_formula_sum 'Hg1 Sb1 Cl2'
_symmetry_space_group_name_H-M 'P 1'
_symmetry_Int_Tables_number 1
_cell_length_a 3.821
_cell_length_b 3.821
_cell_length_c 9.302
_cell_angle_alpha 90.00
_cell_angle_beta 90.00
_cell_angle_gamma 118.48
loop_
_symmetry_equiv_pos_as_xyz
'x,y,z'
loop_
_atom_site_label
_atom_site_fract_x
_atom_site_fract_y
_atom_site_fract_z
_atom_site_occupancy
Hg1 0.000 0.000 0.000 1
Sb1 0.500 0.500 0.239 1
Cl1 0.000 0.000 0.441 1
Cl2 0.500 0.500 0.813 1
```

Properties
**Energy relative to the elements, uncorrected**: -0.282 eV per atom
**Energy above the most stable polymorph in this dataset**: 0.71 eV/f.u.

This record from Alexandria describes HgSb2Cl6 after structural relaxation. The functional is PBE-GGA.

The structure in CIF format:
```
data_HgSb2Cl6
_chemical_formula_sum 'Hg2 Sb4 Cl12'
_symmetry_space_group_name_H-M 'P 1'
_symmetry_Int_Tables_number 1
_cell_length_a 11.632
_cell_length_b 11.632
_cell_length_c 5.704
_cell_angle_alpha 103.21
_cell_angle_beta 103.21
_cell_angle_gamma 95.89
loop_
_symmetry_equiv_pos_as_xyz
'x,y,z'
loop_
_atom_site_label
_atom_site_fract_x
_atom_site_fract_y
_atom_site_fract_z
_atom_site_occupancy
Hg1 0.000 0.000 0.250 1
Hg2 0.000 0.000 0.750 1
Sb1 0.261 0.487 0.871 1
Sb2 0.487 0.261 0.371 1
Sb3 0.513 0.739 0.629 1
Sb4 0.739 0.513 0.129 1
Cl1 0.109 0.315 0.719 1
Cl2 0.134 0.633 0.869 1
Cl3 0.299 0.487 0.451 1
Cl4 0.315 0.109 0.219 1
Cl5 0.367 0.866 0.631 1
Cl6 0.487 0.299 0.951 1
Cl7 0.513 0.701 0.049 1
Cl8 0.633 0.134 0.369 1
Cl9 0.685 0.891 0.781 1
Cl10 0.701 0.513 0.549 1
Cl11 0.866 0.367 0.131 1
Cl12 0.891 0.685 0.281 1
```

Properties
**Energy relative to the elements, uncorrected**: -0.740 eV per atom
**Energy above the most stable polymorph in this dataset**: 0.08 eV/f.u.

This record from Alexandria describes HgSbCl2 after structural relaxation. The functional is PBE-GGA.

The structure in CIF format:
```
data_HgSbCl2
_chemical_formula_sum 'Hg1 Sb1 Cl2'
_symmetry_space_group_name_H-M 'P 1'
_symmetry_Int_Tables_number 1
_cell_length_a 3.662
_cell_length_b 3.662
_cell_length_c 10.827
_cell_angle_alpha 90.00
_cell_angle_beta 90.00
_cell_angle_gamma 119.58
loop_
_symmetry_equiv_pos_as_xyz
'x,y,z'
loop_
_atom_site_label
_atom_site_fract_x
_atom_site_fract_y
_atom_site_fract_z
_atom_site_occupancy
Hg1 0.000 0.000 0.000 1
Sb1 0.000 0.000 0.500 1
Cl1 0.500 0.500 0.317 1
Cl2 0.500 0.500 0.683 1
```

Properties
**Energy relative to the elements, uncorrected**: -0.360 eV per atom
**Energy above the most stable polymorph in this dataset**: 0.39 eV/f.u.

Look up the energy above the most stable polymorph in this dataset of the second one. 0.08 eV/f.u.

Among the records above, which one has the lowest energy relative to the elements, uncorrected? HgSb2Cl6

What did the second record say?
This record from Alexandria describes HgSb2Cl6 after structural relaxation. The functional is PBE-GGA.

The structure in CIF format:
```
data_HgSb2Cl6
_chemical_formula_sum 'Hg2 Sb4 Cl12'
_symmetry_space_group_name_H-M 'P 1'
_symmetry_Int_Tables_number 1
_cell_length_a 11.632
_cell_length_b 11.632
_cell_length_c 5.704
_cell_angle_alpha 103.21
_cell_angle_beta 103.21
_cell_angle_gamma 95.89
loop_
_symmetry_equiv_pos_as_xyz
'x,y,z'
loop_
_atom_site_label
_atom_site_fract_x
_atom_site_fract_y
_atom_site_fract_z
_atom_site_occupancy
Hg1 0.000 0.000 0.250 1
Hg2 0.000 0.000 0.750 1
Sb1 0.261 0.487 0.871 1
Sb2 0.487 0.261 0.371 1
Sb3 0.513 0.739 0.629 1
Sb4 0.739 0.513 0.129 1
Cl1 0.109 0.315 0.719 1
Cl2 0.134 0.633 0.869 1
Cl3 0.299 0.487 0.451 1
Cl4 0.315 0.109 0.219 1
Cl5 0.367 0.866 0.631 1
Cl6 0.487 0.299 0.951 1
Cl7 0.513 0.701 0.049 1
Cl8 0.633 0.134 0.369 1
Cl9 0.685 0.891 0.781 1
Cl10 0.701 0.513 0.549 1
Cl11 0.866 0.367 0.131 1
Cl12 0.891 0.685 0.281 1
```

Properties
**Energy relative to the elements, uncorrected**: -0.740 eV per atom
**Energy above the most stable polymorph in this dataset**: 0.08 eV/f.u.

Look up the energy relative to the elements, uncorrected of the first one. -0.282 eV per atom